CsMn2F5 PBE with a Hubbard U relaxed; calculated total energy = -5.7836 eV per atom
1.0
-2.299 -2.394 1.268
3.720 -5.612 1.131
2.842 -2.316 5.759
Cs Mn F
1 2 5
Direct
0.000 0.000 0.000
0.817 0.683 0.683
0.183 0.317 0.317
0.000 0.500 0.500
0.670 0.570 0.090
0.330 0.430 0.910
0.330 0.910 0.430
0.670 0.090 0.570